Density functional theory data (PBE) for a relaxed structure of Nd2GaNiS5.

Geometry as CIF:
```
data_Nd2GaNiS5
_symmetry_space_group_name_H-M 'C m c 21'
_symmetry_Int_Tables_number 36
_symmetry_space_group_name_Hall 'C 2c -2'
_cell_length_a 3.835
_cell_length_b 17.218
_cell_length_c 11.487
_cell_angle_alpha 90.00
_cell_angle_beta 90.00
_cell_angle_gamma 90.00
loop_
_atom_site_label
_atom_site_type_symbol
_atom_site_fract_x
_atom_site_fract_y
_atom_site_fract_z
Nd1 Nd 0.000 0.112 0.000
Nd2 Nd 0.000 0.135 0.619
Ga1 Ga 0.000 0.426 0.774
Ni1 Ni 0.000 0.248 0.408
S1 S 0.000 0.045 0.382
S2 S 0.000 0.291 0.974
S3 S 0.000 0.318 0.658
S4 S 0.000 0.359 0.314
S5 S 0.000 0.497 0.106
```

Computed properties:
Uncorrected formation energy   -1300 meV per atom
D(E_F)   15.34 states/eV per cell
Total energy   -202.7 eV per cell
Spin magnetization   3.48 μB per cell
Calculated density   5.05 g/cm³

---

Density functional theory data (PBE) for a relaxed structure of NdScGaNi.

Geometry as CIF:
```
data_NdScGaNi
_symmetry_space_group_name_H-M 'F -4 3 m'
_symmetry_Int_Tables_number 216
_symmetry_space_group_name_Hall 'F -4 2 3'
_cell_length_a 6.911
_cell_length_b 6.911
_cell_length_c 6.911
_cell_angle_alpha 90.00
_cell_angle_beta 90.00
_cell_angle_gamma 90.00
loop_
_atom_site_label
_atom_site_type_symbol
_atom_site_fract_x
_atom_site_fract_y
_atom_site_fract_z
Nd1 Nd 0.000 0.000 0.000
Sc1 Sc 0.000 0.000 0.500
Ga1 Ga 0.250 0.250 0.750
Ni1 Ni 0.250 0.250 0.250
```

Computed properties:
ΔE_f   -381 meV/atom
D(E_F)   12.97 states/eV per cell
Total energy   -85.7 eV per cell
Spin magnetization   0.00 μB per cell
Calculated density   6.39 g/cm³

---

Density functional theory data (PBE) for a relaxed structure of Nd2ScGa3Ni4.

Geometry as CIF:
```
data_Nd2ScGa3Ni4
_symmetry_space_group_name_H-M 'P -4 m 2'
_symmetry_Int_Tables_number 115
_symmetry_space_group_name_Hall 'P -4 -2'
_cell_length_a 4.116
_cell_length_b 4.116
_cell_length_c 10.543
_cell_angle_alpha 90.00
_cell_angle_beta 90.00
_cell_angle_gamma 90.00
loop_
_atom_site_label
_atom_site_type_symbol
_atom_site_fract_x
_atom_site_fract_y
_atom_site_fract_z
Nd1 Nd 0.000 0.500 0.233
Sc1 Sc 0.000 0.000 0.500
Ga1 Ga 0.000 0.500 0.880
Ga2 Ga 0.500 0.500 0.500
Ni1 Ni 0.000 0.000 0.000
Ni2 Ni 0.000 0.500 0.648
Ni3 Ni 0.500 0.500 0.000
```

Computed properties:
ΔE_f   -534 meV/atom
D(E_F)   7.36 states/eV per cell
Total energy   -53.4 eV per cell
Spin magnetization   0.00 μB per cell
Calculated density   7.23 g/cm³

---

Density functional theory data (PBE) for a relaxed structure of NdScGa2Ni5.

Geometry as CIF:
```
data_NdScGa2Ni5
_symmetry_space_group_name_H-M 'P 4/m m m'
_symmetry_Int_Tables_number 123
_symmetry_space_group_name_Hall '-P 4 2'
_cell_length_a 3.956
_cell_length_b 3.956
_cell_length_c 8.871
_cell_angle_alpha 90.00
_cell_angle_beta 90.00
_cell_angle_gamma 90.00
loop_
_atom_site_label
_atom_site_type_symbol
_atom_site_fract_x
_atom_site_fract_y
_atom_site_fract_z
Nd1 Nd 0.000 0.000 0.000
Sc1 Sc 0.000 0.000 0.500
Ga1 Ga 0.500 0.500 0.362
Ni1 Ni 0.000 0.500 0.224
Ni2 Ni 0.500 0.500 0.000
```

Computed properties:
ΔE_f   -283 meV/atom
D(E_F)   6.79 states/eV per cell
Total energy   -48.6 eV per cell
Spin magnetization   0.00 μB per cell
Calculated density   7.44 g/cm³

---

Density functional theory data (PBE) for a relaxed structure of Nd3GaSi2Ni9.

Geometry as CIF:
```
data_Nd3GaSi2Ni9
_symmetry_space_group_name_H-M 'P -3 m 1'
_symmetry_Int_Tables_number 164
_symmetry_space_group_name_Hall '-P 3 2"'
_cell_length_a 5.9001
_cell_length_b 5.9001
_cell_length_c 8.5175
_cell_angle_alpha 90.00
_cell_angle_beta 90.00
_cell_angle_gamma 120.00
loop_
_atom_site_label
_atom_site_type_symbol
_atom_site_fract_x
_atom_site_fract_y
_atom_site_fract_z
Nd1 Nd 0.0000 0.0000 0.0000
Nd2 Nd 0.3333 0.6667 0.6627
Ga1 Ga 0.0000 0.0000 0.5000
Si1 Si 0.3333 0.6667 0.1778
Ni1 Ni 0.0000 0.5000 0.0000
Ni2 Ni 0.1395 0.2790 0.2807
```

Computed properties:
Uncorrected formation energy   -287 meV per atom
D(E_F)   8.58 states/eV per cell
Total energy   -84.5 eV per cell
Spin magnetization   0.00 μB per cell
Calculated density   7.03 g/cm³

---

Density functional theory data (PBE) for a relaxed structure of NdGa2SiNi4.

Geometry as CIF:
```
data_NdGa2SiNi4
_symmetry_space_group_name_H-M 'R -3 m'
_symmetry_Int_Tables_number 166
_symmetry_space_group_name_Hall '-R 3 2"'
_cell_length_a 4.0495
_cell_length_b 4.0495
_cell_length_c 25.3016
_cell_angle_alpha 90.00
_cell_angle_beta 90.00
_cell_angle_gamma 120.00
loop_
_atom_site_label
_atom_site_type_symbol
_atom_site_fract_x
_atom_site_fract_y
_atom_site_fract_z
Nd1 Nd 0.0000 0.0000 0.0000
Ga1 Ga 0.0000 0.0000 0.2435
Si1 Si 0.0000 0.0000 0.5000
Ni1 Ni 0.0000 0.0000 0.1389
Ni2 Ni 0.0000 0.0000 0.4111
```

Computed properties:
Uncorrected formation energy   -483 meV per atom
D(E_F)   16.84 states/eV per cell
Total energy   -129.7 eV per cell
Spin magnetization   0.00 μB per cell
Calculated density   7.58 g/cm³

---

Density functional theory data (PBE) for a relaxed structure of NdGaSi2Ni5.

Geometry as CIF:
```
data_NdGaSi2Ni5
_symmetry_space_group_name_H-M 'P 4/m m m'
_symmetry_Int_Tables_number 123
_symmetry_space_group_name_Hall '-P 4 2'
_cell_length_a 3.783
_cell_length_b 3.783
_cell_length_c 9.985
_cell_angle_alpha 90.00
_cell_angle_beta 90.00
_cell_angle_gamma 90.00
loop_
_atom_site_label
_atom_site_type_symbol
_atom_site_fract_x
_atom_site_fract_y
_atom_site_fract_z
Nd1 Nd 0.000 0.000 0.000
Ga1 Ga 0.000 0.000 0.500
Si1 Si 0.500 0.500 0.222
Ni1 Ni 0.000 0.500 0.347
Ni2 Ni 0.500 0.500 0.000
```

Computed properties:
Uncorrected formation energy   -297 meV per atom
D(E_F)   5.61 states/eV per cell
Total energy   -50.2 eV per cell
Spin magnetization   0.00 μB per cell
Calculated density   6.55 g/cm³

---

Density functional theory data (PBE) for a relaxed structure of Nd2GaSi3Ni4.

Geometry as CIF:
```
data_Nd2GaSi3Ni4
_symmetry_space_group_name_H-M 'P -4 m 2'
_symmetry_Int_Tables_number 115
_symmetry_space_group_name_Hall 'P -4 -2'
_cell_length_a 4.077
_cell_length_b 4.077
_cell_length_c 9.646
_cell_angle_alpha 90.00
_cell_angle_beta 90.00
_cell_angle_gamma 90.00
loop_
_atom_site_label
_atom_site_type_symbol
_atom_site_fract_x
_atom_site_fract_y
_atom_site_fract_z
Nd1 Nd 0.000 0.500 0.248
Ga1 Ga 0.000 0.000 0.500
Si1 Si 0.000 0.500 0.877
Si2 Si 0.500 0.500 0.500
Ni1 Ni 0.000 0.000 0.000
Ni2 Ni 0.000 0.500 0.633
Ni3 Ni 0.500 0.500 0.000
```

Computed properties:
Uncorrected formation energy   -754 meV per atom
D(E_F)   5.87 states/eV per cell
Total energy   -59.5 eV per cell
Spin magnetization   0.00 μB per cell
Calculated density   7.01 g/cm³